PBE Ce4SnTe3, relaxed; excess energy over the best structure of this formula in the dataset = 8 meV per atom
1.0
8.944 0.000 0.000
0.000 12.748 0.000
0.000 0.000 4.531
Ce Sn Te
8 2 6
Cartesian
0.000 3.162 0.000
0.000 9.586 0.000
2.210 0.000 2.266
2.263 6.374 2.266
4.472 3.212 0.000
4.472 9.536 0.000
6.682 6.374 2.266
6.735 0.000 2.266
0.000 0.000 0.000
4.472 6.374 0.000
0.000 6.374 0.000
2.236 3.187 2.266
2.236 9.561 2.266
4.472 0.000 0.000
6.708 3.187 2.266
6.708 9.561 2.266



This record from the Alexandria database describes CeTl3Sn2Te6 after structural relaxation. The functional is PBE.

```
CeTl3Sn2Te6
1.0
3.957 -6.841 0.000
3.957 6.841 0.000
-2.603 0.000 7.866
Ce Tl Sn Te
1 3 2 6
Cartesian
0.000 0.000 0.000
2.655 4.544 3.933
2.655 0.000 3.933
2.655 -4.544 3.933
3.957 2.271 0.000
3.957 -2.271 0.000
1.301 2.247 1.708
-0.017 0.000 6.139
1.301 -2.247 1.708
4.009 2.247 6.159
5.328 0.000 1.727
4.009 -2.247 6.159
```



This record from the Alexandria database describes CeYSnTe after structural relaxation. The functional is PBE.

```
CeYSnTe
1.0
4.454 0.000 0.000
-2.227 3.857 0.000
0.000 0.000 21.841
Ce Y Sn Te
3 3 3 3
Cartesian
0.000 0.000 0.000
0.000 2.572 14.561
2.227 1.286 7.280
0.000 0.000 11.059
0.000 2.572 3.779
2.227 1.286 18.340
0.000 0.000 5.496
0.000 2.572 20.056
2.227 1.286 12.776
0.000 0.000 16.505
0.000 2.572 9.224
2.227 1.286 1.944
```



| no. | DFT total energy (eV per atom) |
| --- | --- |
| 1 | -5.825 |
| 2 | -3.844 |
| 3 | -5.905 |